(1)
A plane-wave DFT calculation with PBE was carried out for a relaxed structure of Na2B3C.

a b c (Å): 7.949 7.949 10.101
angles (deg): 120.40 120.40 20.36
Fractional positions:
1 Na 0.000 0.000 0.000
2 Na 0.168 0.168 0.503
3 Na 0.332 0.332 0.996
4 Na 0.501 0.501 0.504
5 Na 0.666 0.666 0.003
6 Na 0.833 0.833 0.503
7 B 0.128 0.128 0.751
8 B 0.186 0.186 0.251
9 B 0.299 0.299 0.252
10 B 0.370 0.370 0.752
11 B 0.479 0.479 0.753
12 B 0.529 0.529 0.251
13 B 0.695 0.695 0.750
14 B 0.801 0.801 0.751
15 B 0.876 0.876 0.252
16 C 0.029 0.029 0.753
17 C 0.633 0.633 0.250
18 C 0.976 0.976 0.252

For the total energy, the calculation gives -92.96 eV/cell. The space-group type is Cm, No. 8. The calculation puts the energy of formation from the pure elements at 0.151 eV/atom.

(2)
A plane-wave DFT calculation with PBE was carried out for a relaxed structure of Na4B5C3.

a b c (Å): 5.004 5.695 8.992
angles (deg): 99.09 106.13 90.00
Fractional positions:
1 Na 0.000 0.000 0.000
2 Na 0.000 0.500 0.000
3 Na 0.249 0.124 0.497
4 Na 0.249 0.625 0.500
5 Na 0.496 0.749 0.997
6 Na 0.504 0.251 0.003
7 Na 0.751 0.375 0.500
8 Na 0.751 0.876 0.503
9 B 0.039 0.188 0.750
10 B 0.055 0.687 0.750
11 B 0.285 0.313 0.249
12 B 0.469 0.574 0.250
13 B 0.470 0.051 0.250
14 B 0.530 0.949 0.750
15 B 0.531 0.426 0.750
16 B 0.715 0.687 0.751
17 B 0.945 0.313 0.250
18 B 0.961 0.812 0.250
19 C 0.210 0.432 0.750
20 C 0.210 0.942 0.749
21 C 0.290 0.812 0.250
22 C 0.710 0.188 0.750
23 C 0.790 0.058 0.251
24 C 0.790 0.568 0.250

For the total energy, the calculation gives -130.37 eV/cell. The space-group type is P-1, No. 2. The calculation puts the energy of formation from the pure elements at 0.096 eV/atom.

(3)
A plane-wave DFT calculation with PBE was carried out for a relaxed structure of NaBC.

a b c (Å): 3.763 3.763 2.850
angles (deg): 90.00 90.00 90.00
Fractional positions:
1 Na 0.000 0.000 0.000
2 B 0.500 0.500 0.500
3 C 0.500 0.500 0.000

For the total energy, the calculation gives -16.91 eV/cell. The space-group type is P4/mmm, No. 123. The calculation puts the energy of formation from the pure elements at 0.103 eV/atom.

(4)
A plane-wave DFT calculation with PBE was carried out for a relaxed structure of Na2B3C.

a b c (Å): 8.648 13.128 13.128
angles (deg): 12.29 90.00 90.00
Fractional positions:
1 Na 0.248 0.000 0.000
2 Na 0.248 0.400 0.400
3 Na 0.250 0.198 0.198
4 Na 0.250 0.599 0.599
5 Na 0.252 0.798 0.798
6 Na 0.748 0.798 0.798
7 Na 0.750 0.198 0.198
8 Na 0.750 0.599 0.599
9 Na 0.752 0.000 0.000
10 Na 0.752 0.400 0.400
11 B 0.000 0.135 0.135
12 B 0.000 0.320 0.320
13 B 0.000 0.473 0.473
14 B 0.000 0.541 0.541
15 B 0.000 0.729 0.729
16 B 0.000 0.864 0.864
17 B 0.000 0.929 0.929
18 B 0.500 0.058 0.058
19 B 0.500 0.125 0.125
20 B 0.500 0.272 0.272
21 B 0.500 0.335 0.335
22 B 0.500 0.466 0.466
23 B 0.500 0.665 0.665
24 B 0.500 0.729 0.729
25 B 0.500 0.877 0.877
26 C 0.000 0.072 0.072
27 C 0.000 0.261 0.261
28 C 0.000 0.666 0.666
29 C 0.500 0.528 0.528
30 C 0.500 0.936 0.936

For the total energy, the calculation gives -155.01 eV/cell. The space-group type is Amm2, No. 38. The calculation puts the energy of formation from the pure elements at 0.149 eV/atom.

(5)
A plane-wave DFT calculation with PBE was carried out for a relaxed structure of Na2B3C.

a b c (Å): 7.714 7.714 9.091
angles (deg): 107.65 107.65 38.23
Fractional positions:
1 Na 0.049 0.049 0.247
2 Na 0.151 0.150 0.751
3 Na 0.251 0.249 0.248
4 Na 0.353 0.348 0.752
5 Na 0.449 0.451 0.249
6 Na 0.549 0.551 0.751
7 Na 0.652 0.647 0.248
8 Na 0.751 0.749 0.752
9 Na 0.850 0.849 0.249
10 Na 0.951 0.951 0.753
11 B 0.063 0.735 0.999
12 B 0.140 0.451 0.999
13 B 0.170 0.830 0.500
14 B 0.232 0.566 0.500
15 B 0.265 0.937 0.001
16 B 0.354 0.646 0.000
17 B 0.368 0.044 0.500
18 B 0.434 0.768 0.500
19 B 0.549 0.860 0.001
20 B 0.572 0.211 0.500
21 B 0.721 0.077 0.999
22 B 0.789 0.428 0.500
23 B 0.820 0.180 0.500
24 B 0.923 0.279 0.001
25 B 0.956 0.632 0.500
26 C 0.042 0.361 0.500
27 C 0.466 0.133 0.999
28 C 0.639 0.958 0.500
29 C 0.664 0.336 0.000
30 C 0.867 0.534 0.001

For the total energy, the calculation gives -154.10 eV/cell. The space-group type is C2, No. 5. The calculation puts the energy of formation from the pure elements at 0.179 eV/atom.

(6)
A plane-wave DFT calculation with PBE was carried out for a relaxed structure of Na2B3C.

a b c (Å): 11.583 11.583 9.985
angles (deg): 106.93 106.93 14.30
Fractional positions:
1 Na 0.000 0.000 0.000
2 Na 0.102 0.102 0.698
3 Na 0.200 0.200 0.404
4 Na 0.301 0.301 0.101
5 Na 0.400 0.400 0.802
6 Na 0.500 0.500 0.498
7 Na 0.599 0.599 0.202
8 Na 0.702 0.702 0.900
9 Na 0.801 0.801 0.602
10 Na 0.900 0.900 0.300
11 B 0.077 0.077 0.403
12 B 0.125 0.125 0.997
13 B 0.287 0.287 0.825
14 B 0.315 0.315 0.381
15 B 0.384 0.384 0.518
16 B 0.481 0.481 0.211
17 B 0.520 0.520 0.788
18 B 0.585 0.585 0.918
19 B 0.618 0.618 0.484
20 B 0.690 0.690 0.630
21 B 0.714 0.714 0.178
22 B 0.782 0.782 0.314
23 B 0.884 0.884 0.018
24 B 0.915 0.915 0.580
25 B 0.981 0.981 0.712
26 C 0.013 0.013 0.276
27 C 0.185 0.185 0.118
28 C 0.222 0.222 0.694
29 C 0.416 0.416 0.082
30 C 0.819 0.819 0.889

For the total energy, the calculation gives -154.55 eV/cell. The space-group type is Cm, No. 8. The calculation puts the energy of formation from the pure elements at 0.164 eV/atom.

(7)
A plane-wave DFT calculation with PBE was carried out for a relaxed structure of Na5B6C4.

a b c (Å): 7.583 7.583 8.471
angles (deg): 90.00 90.00 38.14
Fractional positions:
1 Na 0.000 0.000 0.000
2 Na 0.000 0.000 0.500
3 Na 0.199 0.199 0.000
4 Na 0.199 0.199 0.500
5 Na 0.400 0.400 0.000
6 Na 0.400 0.400 0.500
7 Na 0.600 0.600 0.000
8 Na 0.600 0.600 0.500
9 Na 0.801 0.801 0.000
10 Na 0.801 0.801 0.500
11 B 0.058 0.730 0.250
12 B 0.134 0.466 0.750
13 B 0.270 0.942 0.250
14 B 0.316 0.684 0.750
15 B 0.332 0.668 0.250
16 B 0.466 0.134 0.250
17 B 0.534 0.866 0.750
18 B 0.668 0.332 0.750
19 B 0.684 0.316 0.250
20 B 0.730 0.058 0.750
21 B 0.866 0.534 0.250
22 B 0.942 0.270 0.750
23 C 0.066 0.732 0.750
24 C 0.126 0.468 0.250
25 C 0.268 0.934 0.750
26 C 0.468 0.126 0.750
27 C 0.532 0.874 0.250
28 C 0.732 0.066 0.250
29 C 0.874 0.532 0.750
30 C 0.934 0.268 0.250

For the total energy, the calculation gives -164.59 eV/cell. The space-group type is Cmcm, No. 63. The calculation puts the energy of formation from the pure elements at 0.084 eV/atom.

(8)
A plane-wave DFT calculation with PBE was carried out for a relaxed structure of Na2B3C.

a b c (Å): 2.919 2.919 43.740
angles (deg): 90.00 90.00 120.00
Fractional positions:
1 Na 0.000 0.000 0.000
2 Na 0.000 0.000 0.075
3 Na 0.000 0.000 0.218
4 Na 0.000 0.000 0.316
5 Na 0.000 0.000 0.413
6 Na 0.000 0.000 0.512
7 Na 0.000 0.000 0.609
8 Na 0.000 0.000 0.706
9 Na 0.000 0.000 0.805
10 Na 0.000 0.000 0.902
11 B 0.333 0.667 0.126
12 B 0.333 0.667 0.266
13 B 0.333 0.667 0.463
14 B 0.333 0.667 0.657
15 B 0.333 0.667 0.755
16 B 0.333 0.667 0.854
17 B 0.333 0.667 0.952
18 B 0.667 0.333 0.122
19 B 0.667 0.333 0.168
20 B 0.667 0.333 0.266
21 B 0.667 0.333 0.364
22 B 0.667 0.333 0.463
23 B 0.667 0.333 0.561
24 B 0.667 0.333 0.755
25 B 0.667 0.333 0.952
26 C 0.333 0.667 0.169
27 C 0.333 0.667 0.364
28 C 0.333 0.667 0.561
29 C 0.667 0.333 0.657
30 C 0.667 0.333 0.854

For the total energy, the calculation gives -152.37 eV/cell. The space-group type is P3m1, No. 156. The calculation puts the energy of formation from the pure elements at 0.237 eV/atom.

(9)
A plane-wave DFT calculation with PBE was carried out for a relaxed structure of Na5B8C2.

a b c (Å): 5.046 8.635 7.765
angles (deg): 90.00 107.69 90.00
Fractional positions:
1 Na 0.000 0.000 0.000
2 Na 0.000 0.500 0.000
3 Na 0.202 0.001 0.400
4 Na 0.202 0.499 0.400
5 Na 0.397 0.503 0.799
6 Na 0.397 0.997 0.799
7 Na 0.603 0.003 0.201
8 Na 0.603 0.497 0.201
9 Na 0.798 0.501 0.600
10 Na 0.798 0.999 0.600
11 B 0.074 0.750 0.807
12 B 0.121 0.750 0.594
13 B 0.150 0.250 0.612
14 B 0.268 0.750 0.212
15 B 0.278 0.250 0.206
16 B 0.305 0.250 0.980
17 B 0.340 0.750 0.001
18 B 0.466 0.750 0.586
19 B 0.534 0.250 0.414
20 B 0.660 0.250 0.999
21 B 0.695 0.750 0.020
22 B 0.722 0.750 0.794
23 B 0.732 0.250 0.788
24 B 0.850 0.750 0.388
25 B 0.879 0.250 0.406
26 B 0.926 0.250 0.193
27 C 0.059 0.250 0.797
28 C 0.469 0.250 0.605
29 C 0.531 0.750 0.395
30 C 0.941 0.750 0.203

For the total energy, the calculation gives -151.01 eV/cell. The space-group type is P2_1/m, No. 11. The calculation puts the energy of formation from the pure elements at 0.197 eV/atom.

(10)
A plane-wave DFT calculation with PBE was carried out for a relaxed structure of Na5B8C2.

a b c (Å): 8.650 7.827 7.827
angles (deg): 142.50 90.00 90.00
Fractional positions:
1 Na 0.248 0.100 0.900
2 Na 0.248 0.900 0.100
3 Na 0.249 0.499 0.499
4 Na 0.251 0.304 0.705
5 Na 0.251 0.705 0.304
6 Na 0.749 0.304 0.705
7 Na 0.749 0.705 0.304
8 Na 0.751 0.499 0.499
9 Na 0.752 0.100 0.900
10 Na 0.752 0.900 0.100
11 B 0.000 0.006 0.391
12 B 0.000 0.022 0.619
13 B 0.000 0.164 0.164
14 B 0.000 0.391 0.006
15 B 0.000 0.571 0.760
16 B 0.000 0.619 0.022
17 B 0.000 0.760 0.571
18 B 0.500 0.038 0.646
19 B 0.500 0.227 0.408
20 B 0.500 0.388 0.985
21 B 0.500 0.408 0.227
22 B 0.500 0.559 0.763
23 B 0.500 0.646 0.038
24 B 0.500 0.763 0.559
25 B 0.500 0.832 0.832
26 B 0.500 0.985 0.388
27 C 0.000 0.234 0.424
28 C 0.000 0.424 0.234
29 C 0.000 0.828 0.828
30 C 0.500 0.156 0.156

For the total energy, the calculation gives -150.84 eV/cell. The space-group type is Amm2, No. 38. The calculation puts the energy of formation from the pure elements at 0.203 eV/atom.

(11)
A plane-wave DFT calculation with PBE was carried out for a relaxed structure of Na2B3C.

a b c (Å): 9.050 9.050 13.387
angles (deg): 113.02 113.02 18.33
Fractional positions:
1 Na 0.000 0.000 0.000
2 Na 0.000 0.000 0.497
3 Na 0.198 0.198 0.398
4 Na 0.201 0.201 0.897
5 Na 0.398 0.398 0.798
6 Na 0.401 0.401 0.298
7 Na 0.599 0.599 0.199
8 Na 0.599 0.599 0.697
9 Na 0.799 0.799 0.596
10 Na 0.801 0.801 0.099
11 B 0.035 0.035 0.819
12 B 0.163 0.163 0.574
13 B 0.167 0.167 0.085
14 B 0.235 0.235 0.220
15 B 0.366 0.366 0.480
16 B 0.373 0.373 0.995
17 B 0.430 0.430 0.609
18 B 0.566 0.566 0.381
19 B 0.567 0.567 0.881
20 B 0.634 0.634 0.018
21 B 0.760 0.760 0.769
22 B 0.825 0.825 0.400
23 B 0.833 0.833 0.914
24 B 0.969 0.969 0.188
25 B 0.969 0.969 0.687
26 C 0.034 0.034 0.317
27 C 0.228 0.228 0.705
28 C 0.436 0.436 0.123
29 C 0.631 0.631 0.511
30 C 0.765 0.765 0.279

For the total energy, the calculation gives -154.40 eV/cell. The space-group type is Cm, No. 8. The calculation puts the energy of formation from the pure elements at 0.169 eV/atom.

(12)
A plane-wave DFT calculation with PBE was carried out for a relaxed structure of Na5B8C2.

a b c (Å): 9.155 9.155 13.682
angles (deg): 112.23 112.23 17.72
Fractional positions:
1 Na 0.000 0.000 0.000
2 Na 0.001 0.001 0.497
3 Na 0.202 0.202 0.396
4 Na 0.203 0.203 0.900
5 Na 0.399 0.399 0.294
6 Na 0.402 0.402 0.800
7 Na 0.602 0.602 0.195
8 Na 0.603 0.603 0.700
9 Na 0.802 0.802 0.097
10 Na 0.802 0.802 0.598
11 B 0.027 0.027 0.297
12 B 0.037 0.037 0.820
13 B 0.169 0.169 0.083
14 B 0.174 0.174 0.593
15 B 0.239 0.239 0.725
16 B 0.368 0.368 0.480
17 B 0.370 0.370 0.987
18 B 0.431 0.431 0.608
19 B 0.436 0.436 0.117
20 B 0.570 0.570 0.382
21 B 0.579 0.579 0.903
22 B 0.632 0.632 0.508
23 B 0.761 0.761 0.265
24 B 0.828 0.828 0.398
25 B 0.830 0.830 0.907
26 B 0.974 0.974 0.694
27 C 0.230 0.230 0.204
28 C 0.638 0.638 0.021
29 C 0.770 0.770 0.787
30 C 0.969 0.969 0.180

For the total energy, the calculation gives -151.52 eV/cell. The space-group type is Cm, No. 8. The calculation puts the energy of formation from the pure elements at 0.180 eV/atom.

energy of formation from the pure elements of number 4 (Na2B3C)?
0.149 eV/atom

Look up the energy of formation from the pure elements of the third one.
0.103 eV/atom

The highest energy of formation from the pure elements belongs to which entry?
number 8